FeIF2 | PBE with a Hubbard U | relaxed

Summary:
As for the space group: Fm-3m (225). For the energy above the most stable polymorph in this dataset, the calculation gives 96.8 kJ/mol of atoms. For the spin magnetization, the calculation gives 1.170 μB per atom.

a = 4.504 Å, b = 4.504 Å, c = 4.504 Å
α = 60.00°, β = 60.00°, γ = 60.00°
Positions (direct):
I: 0.500 0.500 0.500
Fe: 0.000 0.000 0.000
F: 0.250 0.250 0.250
F: 0.750 0.750 0.750